No. 1
The following is a DFT calculation (GGA-PBE) of a relaxed structure of Ba3Na3N.

Structure (POSCAR):
```
Ba3Na3N
1.0
5.168 -6.480 0.000
5.168 6.480 0.000
-3.251 0.000 9.846
Ba Na N
6 6 2
Cartesian
0.137 2.036 7.567 Ba
-0.067 0.000 3.897 Ba
0.137 -2.036 7.567 Ba
6.949 2.036 2.278 Ba
7.153 0.000 5.949 Ba
6.949 -2.036 2.278 Ba
5.168 4.812 0.000 Na
3.543 1.897 4.923 Na
3.307 0.000 1.461 Na
3.779 0.000 8.384 Na
3.543 -1.897 4.923 Na
5.168 -4.812 0.000 Na
-0.631 0.000 6.421 N
7.717 0.000 3.425 N
```

Computed properties:
Magnetization: 0.0000 μB/atom
E_form (uncorrected): -1.13 eV/f.u.
Volume: 47.10 Å³ per atom
Calculated total energy: -19.18 eV per formula unit

No. 2
The following is a DFT calculation (GGA-PBE) of a relaxed structure of BaNaN3.

Structure (POSCAR):
```
BaNaN3
1.0
4.443 0.000 0.000
0.000 4.443 0.000
0.000 0.000 4.443
Ba Na N
1 1 3
Cartesian
0.000 0.000 0.000 Ba
2.222 2.222 2.222 Na
0.000 2.222 2.222 N
2.222 0.000 2.222 N
2.222 2.222 0.000 N
```

Computed properties:
Magnetization: 1.2000 μB/atom
E_form (uncorrected): 7.44 eV/f.u.
Volume: 17.55 Å³ per atom
Calculated total energy: -20.77 eV per formula unit

No. 3
The following is a DFT calculation (GGA-PBE) of a relaxed structure of BaNaN.

Structure (POSCAR):
```
BaNaN
1.0
4.055 0.000 0.000
-2.028 3.512 0.000
0.000 0.000 11.162
Ba Na N
2 2 2
Cartesian
0.000 0.000 0.000 Ba
0.000 0.000 5.581 Ba
0.000 2.341 2.302 Na
2.028 1.171 7.883 Na
0.000 2.341 6.779 N
2.028 1.171 1.198 N
```

Computed properties:
Magnetization: 0.0000 μB/atom
E_form (uncorrected): -0.12 eV/f.u.
Volume: 26.49 Å³ per atom
Calculated total energy: -11.68 eV per formula unit

No. 4
The following is a DFT calculation (GGA-PBE) of a relaxed structure of Ba6Na2N.

Structure (POSCAR):
```
Ba6Na2N
1.0
7.485 -2.255 0.000
7.485 2.255 0.000
-2.400 0.000 14.508
Ba Na N
6 2 1
Cartesian
0.314 0.000 5.170 Ba
0.871 0.000 8.763 Ba
2.923 0.000 13.124 Ba
9.645 0.000 1.383 Ba
11.697 0.000 5.744 Ba
12.254 0.000 9.338 Ba
5.507 0.000 2.500 Na
7.062 0.000 12.008 Na
-1.200 0.000 7.254 N
```

Computed properties:
Magnetization: 0.0000 μB/atom
E_form (uncorrected): 0.26 eV/f.u.
Energy above the lowest structure with this stoichiometry: 114 meV per atom
Volume: 54.42 Å³ per atom
Calculated total energy: -22.24 eV per formula unit

Repeat the second record exactly.
The following is a DFT calculation (GGA-PBE) of a relaxed structure of BaNaN3.

Structure (POSCAR):
```
BaNaN3
1.0
4.443 0.000 0.000
0.000 4.443 0.000
0.000 0.000 4.443
Ba Na N
1 1 3
Cartesian
0.000 0.000 0.000 Ba
2.222 2.222 2.222 Na
0.000 2.222 2.222 N
2.222 0.000 2.222 N
2.222 2.222 0.000 N
```

Computed properties:
Magnetization: 1.2000 μB/atom
E_form (uncorrected): 7.44 eV/f.u.
Volume: 17.55 Å³ per atom
Calculated total energy: -20.77 eV per formula unit